(1)
First-principles (PBE) data for Tb3Nd7Tm after structural relaxation, as listed in Alexandria.

Unit cell a=10.3341 b=10.3334 c=12.6830 alpha=114.97 beta=65.03 gamma=139.29
Element x y z (fractional)
Nd 0.7083 0.7084 0.2500
Nd 0.5803 0.9108 0.0237
Nd 0.1562 0.8383 0.7269
Nd 0.1618 0.8440 0.2269
Nd 0.2917 0.2916 0.7500
Nd 0.9163 0.5810 0.9721
Nd 0.0837 0.4190 0.0279
Nd 0.4197 0.0892 0.9763
Nd 0.5810 0.9163 0.5279
Nd 0.4190 0.0837 0.4721
Nd 0.9108 0.5804 0.4764
Nd 0.0892 0.4196 0.5236
Nd 0.8438 0.1617 0.2731
Nd 0.8382 0.1560 0.7731
Tb 0.3308 0.6725 0.2731
Tb 0.6726 0.3310 0.2269
Tb 0.6692 0.3275 0.7269
Tb 0.0000 0.0000 0.0000
Tb 0.3274 0.6690 0.7731
Tb 0.0000 0.0000 0.5000
Tm 0.5000 0.5000 0.5000
Tm 0.5000 0.5000 0.0000

Results
The calculation puts the formation energy at 0.185 eV per atom. The calculation puts the energy above the most stable polymorph in this dataset at 0.000 eV per atom.

=====

(2)
First-principles (PBE) data for TbNd2Tm5 after structural relaxation, as listed in Alexandria.

Unit cell a=7.1062 b=7.1075 c=7.0748 alpha=120.15 beta=120.14 gamma=90.01
Element x y z (fractional)
Tm 0.7220 0.2222 0.9442
Tm 0.2222 0.2222 0.9442
Tm 0.7220 0.7220 0.9442
Tm 0.7222 0.7222 0.4445
Tm 0.2222 0.7220 0.9442
Nd 0.7221 0.2221 0.4442
Nd 0.2221 0.7221 0.4442
Tb 0.2221 0.2221 0.4442

Results
The calculation puts the formation energy at 0.025 eV per atom. The calculation puts the energy above the most stable polymorph in this dataset at 0.000 eV per atom.

=====

(3)
First-principles (PBE) data for Tb2Nd2Tm5 after structural relaxation, as listed in Alexandria.

Unit cell a=3.4743 b=8.1864 c=12.4606 alpha=120.60 beta=98.10 gamma=89.90
Element x y z (fractional)
Nd 0.8185 0.7783 0.6352
Nd 0.1815 0.2217 0.3648
Tm 0.0000 0.0000 0.0000
Tm 0.0981 0.4612 0.1937
Tm 0.3092 0.1474 0.6187
Tm 0.9019 0.5388 0.8063
Tm 0.6908 0.8526 0.3813
Tb 0.4537 0.2618 0.9072
Tb 0.5463 0.7382 0.0928

Results
The calculation puts the formation energy at 0.233 eV per atom. The calculation puts the energy above the most stable polymorph in this dataset at 0.019 eV per atom.

=====

(4)
First-principles (PBE) data for Tb2NdTm after structural relaxation, as listed in Alexandria.

Unit cell a=3.5696 b=3.5696 c=10.1248 alpha=90.00 beta=90.00 gamma=90.00
Element x y z (fractional)
Tb 0.0000 0.0000 0.7563
Tb 0.0000 0.0000 0.2437
Nd 0.5000 0.5000 0.5000
Tm 0.5000 0.5000 0.0000

Results
The calculation puts the formation energy at 0.023 eV per atom. The calculation puts the energy above the most stable polymorph in this dataset at 0.004 eV per atom.

=====

- Number 1 is which compound?
  Tb3Nd7Tm